Density functional theory data (PBE with a Hubbard U) for a relaxed SrCa7Ti3Mn5O23 crystal.

DOS(E_F): 1.3 states/eV/cell
ρ: 4.2 Mg/m³
energy: -7.39 eV per atom
total magnetic moment: 17.00 μB/cell

The structure in CIF format:
```
data_SrCa7Ti3Mn5O23
_cell_length_a 7.677
_cell_length_b 7.684
_cell_length_c 7.718
_cell_angle_alpha 89.79
_cell_angle_beta 89.48
_cell_angle_gamma 89.87
_space_group_name_H-M_alt 'P 1'
_space_group_IT_number 1
loop_
_space_group_symop_operation_xyz
'x,y,z'
loop_
_atom_site_label
_atom_site_type_symbol
_atom_site_fract_x
_atom_site_fract_y
_atom_site_fract_z
Sr1 Sr 0.000 0.000 0.000
Ca1 Ca 0.463 0.515 0.978
Ca2 Ca 0.481 0.523 0.477
Ca3 Ca 0.512 0.001 0.012
Ca4 Ca 0.512 0.995 0.532
Ca5 Ca 0.963 0.514 0.966
Ca6 Ca 0.964 0.507 0.490
Ca7 Ca 0.991 0.986 0.514
Ti1 Ti 0.228 0.265 0.230
Ti2 Ti 0.734 0.256 0.255
Ti3 Ti 0.740 0.753 0.247
Mn1 Mn 0.235 0.260 0.750
Mn2 Mn 0.239 0.754 0.742
Mn3 Mn 0.240 0.756 0.251
Mn4 Mn 0.733 0.258 0.749
Mn5 Mn 0.735 0.754 0.749
O1 O 0.190 0.306 0.008
O2 O 0.197 0.012 0.740
O3 O 0.202 0.716 0.998
O4 O 0.211 0.503 0.309
O5 O 0.273 0.009 0.216
O6 O 0.285 0.792 0.494
O7 O 0.287 0.503 0.710
O8 O 0.481 0.294 0.236
O9 O 0.482 0.210 0.780
O10 O 0.487 0.795 0.788
O11 O 0.488 0.714 0.213
O12 O 0.695 0.291 0.506
O13 O 0.699 0.005 0.276
O14 O 0.703 0.506 0.792
O15 O 0.704 0.728 0.503
O16 O 0.761 0.228 0.004
O17 O 0.766 0.781 0.998
O18 O 0.767 0.006 0.716
O19 O 0.784 0.504 0.230
O20 O 0.985 0.300 0.713
O21 O 0.987 0.718 0.712
O22 O 0.991 0.790 0.283
O23 O 0.995 0.219 0.311
```